(1)
VASP calculation (PBE) on DySnPb after structural relaxation.

Cell lengths 5.211, 5.211, 5.211 Å; angles 60.00, 60.00, 60.00 degrees
Sites, in units of the cell vectors:
Pb: 0.750 0.750 0.750
Dy: 0.250 0.250 0.250
Sn: 0.000 0.000 0.000

- relative energy among the computed polymorphs (meV/atom) = 40

=====

(2)
VASP calculation (PBE) on SiBPdAu after structural relaxation.

Cell lengths 4.251, 4.251, 4.251 Å; angles 60.00, 60.00, 60.00 degrees
Sites, in units of the cell vectors:
Au: 0.750 0.750 0.750
B: 0.500 0.500 0.500
Si: 0.000 0.000 0.000
Pd: 0.250 0.250 0.250

- relative energy among the computed polymorphs (meV/atom) = 0

=====

Question: Which of these has the highest relative energy among the computed polymorphs?
Answer: DySnPb

=====

What did the second record say?
VASP calculation (PBE) on SiBPdAu after structural relaxation.

Cell lengths 4.251, 4.251, 4.251 Å; angles 60.00, 60.00, 60.00 degrees
Sites, in units of the cell vectors:
Au: 0.750 0.750 0.750
B: 0.500 0.500 0.500
Si: 0.000 0.000 0.000
Pd: 0.250 0.250 0.250

- relative energy among the computed polymorphs (meV/atom) = 0